Density functional theory data (PBE) for a geometry-optimized Tb3SI7 structure.

Structure (extended XYZ):
```
11
Lattice="8.6609 0.0000 0.0000 -4.3304 7.5005 0.0000 0.0000 0.0000 7.6764" Properties=species:S:1:pos:R:3 pbc="T T T"
Tb -2.0370 3.8243 0.0000
Tb 2.0370 3.8243 0.0000
Tb 0.0000 7.3525 0.0000
S 0.0000 5.0004 6.4451
I 0.0000 2.5057 1.8606
I -2.1605 6.2477 1.8606
I 2.1954 1.2675 5.9882
I 2.1605 6.2477 1.8606
I 4.3304 2.5002 1.8263
I 6.4655 1.2675 5.9882
I 4.3304 4.9655 5.9882
```

Properties
E_form (uncorrected)	-16.39	eV per formula unit
DOS(E_F)	0.000	states/eV/atom